Density functional theory data (PBE) for an optimized crystal structure of LaTl2SnH.

```
data_LaTl2SnH
_symmetry_space_group_name_H-M 'P 1'
_symmetry_Int_Tables_number 1
_cell_length_a 5.006
_cell_length_b 5.006
_cell_length_c 4.762
_cell_angle_alpha 90.00
_cell_angle_beta 90.00
_cell_angle_gamma 90.00
loop_
_symmetry_equiv_pos_as_xyz
'x,y,z'
loop_
_atom_site_label
_atom_site_type_symbol
_atom_site_fract_x
_atom_site_fract_y
_atom_site_fract_z
H1 H 0.000 0.000 0.000
Tl1 Tl 0.000 0.500 0.000
Tl2 Tl 0.500 0.000 0.000
Sn1 Sn 0.500 0.500 0.500
La1 La 0.000 0.000 0.500
```

**Electronic total energy**: -18.26 eV for the cell shown

***

Density functional theory data (PBE) for an optimized crystal structure of Sr2ZrCo.

```
data_Sr2ZrCo
_symmetry_space_group_name_H-M 'P 1'
_symmetry_Int_Tables_number 1
_cell_length_a 4.450
_cell_length_b 4.450
_cell_length_c 5.400
_cell_angle_alpha 90.00
_cell_angle_beta 90.00
_cell_angle_gamma 90.00
loop_
_symmetry_equiv_pos_as_xyz
'x,y,z'
loop_
_atom_site_label
_atom_site_type_symbol
_atom_site_fract_x
_atom_site_fract_y
_atom_site_fract_z
Co1 Co 0.000 0.500 0.500
Sr1 Sr 0.000 0.000 0.000
Sr2 Sr 0.500 0.500 0.000
Zr1 Zr 0.500 0.000 0.500
```

**Electronic total energy**: -15.74 eV for the cell shown
**ΔE to the lowest computed polymorph**: 651 meV per atom
**ΔE_f**: 819.4 meV/atom

***

Density functional theory data (PBE) for an optimized crystal structure of LiMnZn2Pd.

```
data_LiMnZn2Pd
_symmetry_space_group_name_H-M 'P 1'
_symmetry_Int_Tables_number 1
_cell_length_a 4.745
_cell_length_b 4.772
_cell_length_c 4.745
_cell_angle_alpha 90.00
_cell_angle_beta 90.00
_cell_angle_gamma 90.00
loop_
_symmetry_equiv_pos_as_xyz
'x,y,z'
loop_
_atom_site_label
_atom_site_type_symbol
_atom_site_fract_x
_atom_site_fract_y
_atom_site_fract_z
Zn1 Zn 0.000 0.000 0.500
Zn2 Zn 0.500 0.000 0.000
Mn1 Mn 0.000 0.000 0.000
Pd1 Pd 0.000 0.500 0.000
Li1 Li 0.500 0.500 0.500
```

**Electronic total energy**: -16.57 eV for the cell shown
**ΔE_f**: 449.9 meV/atom

***

Density functional theory data (PBE) for an optimized crystal structure of MnZn2CuP.

```
data_MnZn2CuP
_symmetry_space_group_name_H-M 'P 1'
_symmetry_Int_Tables_number 1
_cell_length_a 4.464
_cell_length_b 4.676
_cell_length_c 4.464
_cell_angle_alpha 90.00
_cell_angle_beta 90.00
_cell_angle_gamma 90.00
loop_
_symmetry_equiv_pos_as_xyz
'x,y,z'
loop_
_atom_site_label
_atom_site_type_symbol
_atom_site_fract_x
_atom_site_fract_y
_atom_site_fract_z
P1 P 0.500 0.500 0.500
Zn1 Zn 0.000 0.000 0.500
Zn2 Zn 0.500 0.000 0.000
Mn1 Mn 0.000 0.500 0.000
Cu1 Cu 0.000 0.000 0.000
```

**Electronic total energy**: -17.84 eV for the cell shown
**ΔE_f**: 676.3 meV/atom

***

Copy entry 3 word for word.
Density functional theory data (PBE) for an optimized crystal structure of LiMnZn2Pd.

```
data_LiMnZn2Pd
_symmetry_space_group_name_H-M 'P 1'
_symmetry_Int_Tables_number 1
_cell_length_a 4.745
_cell_length_b 4.772
_cell_length_c 4.745
_cell_angle_alpha 90.00
_cell_angle_beta 90.00
_cell_angle_gamma 90.00
loop_
_symmetry_equiv_pos_as_xyz
'x,y,z'
loop_
_atom_site_label
_atom_site_type_symbol
_atom_site_fract_x
_atom_site_fract_y
_atom_site_fract_z
Zn1 Zn 0.000 0.000 0.500
Zn2 Zn 0.500 0.000 0.000
Mn1 Mn 0.000 0.000 0.000
Pd1 Pd 0.000 0.500 0.000
Li1 Li 0.500 0.500 0.500
```

**Electronic total energy**: -16.57 eV for the cell shown
**ΔE_f**: 449.9 meV/atom

***

Q: Which of these has the lowest electronic total energy?
A: LaTl2SnH

***

Please write out number 2 again, unchanged.
Density functional theory data (PBE) for an optimized crystal structure of Sr2ZrCo.

```
data_Sr2ZrCo
_symmetry_space_group_name_H-M 'P 1'
_symmetry_Int_Tables_number 1
_cell_length_a 4.450
_cell_length_b 4.450
_cell_length_c 5.400
_cell_angle_alpha 90.00
_cell_angle_beta 90.00
_cell_angle_gamma 90.00
loop_
_symmetry_equiv_pos_as_xyz
'x,y,z'
loop_
_atom_site_label
_atom_site_type_symbol
_atom_site_fract_x
_atom_site_fract_y
_atom_site_fract_z
Co1 Co 0.000 0.500 0.500
Sr1 Sr 0.000 0.000 0.000
Sr2 Sr 0.500 0.500 0.000
Zr1 Zr 0.500 0.000 0.500
```

**Electronic total energy**: -15.74 eV for the cell shown
**ΔE to the lowest computed polymorph**: 651 meV per atom
**ΔE_f**: 819.4 meV/atom

***

Repeat the second record exactly.
Density functional theory data (PBE) for an optimized crystal structure of Sr2ZrCo.

```
data_Sr2ZrCo
_symmetry_space_group_name_H-M 'P 1'
_symmetry_Int_Tables_number 1
_cell_length_a 4.450
_cell_length_b 4.450
_cell_length_c 5.400
_cell_angle_alpha 90.00
_cell_angle_beta 90.00
_cell_angle_gamma 90.00
loop_
_symmetry_equiv_pos_as_xyz
'x,y,z'
loop_
_atom_site_label
_atom_site_type_symbol
_atom_site_fract_x
_atom_site_fract_y
_atom_site_fract_z
Co1 Co 0.000 0.500 0.500
Sr1 Sr 0.000 0.000 0.000
Sr2 Sr 0.500 0.500 0.000
Zr1 Zr 0.500 0.000 0.500
```

**Electronic total energy**: -15.74 eV for the cell shown
**ΔE to the lowest computed polymorph**: 651 meV per atom
**ΔE_f**: 819.4 meV/atom